Version a
VASP calculation (PBE) on a relaxed LaYP2 crystal. Values from VASP.

- Space group: Pmmm (47)
- Total magnetization: 0.000 μB/f.u.

The structure in Quantum ESPRESSO input format:
```
&SYSTEM
  ibrav = 0, nat = 4, ntyp = 3
/
ATOMIC_SPECIES
La 138.91 La.upf
Y 88.91 Y.upf
P 30.97 P.upf
CELL_PARAMETERS angstrom
-0.5454 -4.2989 -1.3397
4.5002 0.4448 -3.2596
2.1330 -1.1398 2.7892
ATOMIC_POSITIONS angstrom
La 3.3166 -0.3475 -0.2352
Y 0.7938 -2.7194 0.7248
P 0.0000 0.0000 0.0000
P 1.9774 -1.9270 -2.2996
```

Version b
VASP calculation (PBE) on a relaxed LaYP2 crystal. Values from VASP.

- Space group: P4/mmm (123)
- Total magnetization: 0.000 μB/f.u.

The structure in Quantum ESPRESSO input format:
```
&SYSTEM
  ibrav = 0, nat = 4, ntyp = 3
/
ATOMIC_SPECIES
Y 88.91 Y.upf
P 30.97 P.upf
La 138.91 La.upf
CELL_PARAMETERS angstrom
-3.8394 0.2231 -1.5778
-0.7471 -3.8878 1.2679
-1.9841 2.0503 5.1178
ATOMIC_POSITIONS angstrom
Y -0.7440 0.7689 1.9192
P -3.0373 -1.0635 1.7643
P -1.7360 1.7939 4.4778
La -4.0293 -0.0383 4.3232
```

Version c
VASP calculation (PBE) on a relaxed LaYP2 crystal. Values from VASP.

- Space group: Immm (71)
- Total magnetization: 0.000 μB/f.u.

The structure in Quantum ESPRESSO input format:
```
&SYSTEM
  ibrav = 0, nat = 4, ntyp = 3
/
ATOMIC_SPECIES
Y 88.91 Y.upf
P 30.97 P.upf
La 138.91 La.upf
CELL_PARAMETERS angstrom
5.1544 0.0028 0.0010
0.0952 5.1535 -0.0010
-2.0709 -3.1420 3.5223
ATOMIC_POSITIONS angstrom
Y 0.3245 2.2948 1.7606
P 0.0397 0.0390 0.0000
P 2.5850 2.5391 0.0000
La 2.8541 -0.2805 1.7617
```

It is version b that is most stable; the runner-up trails by 0.391 eV/atom.

Version a
VASP calculation (PBE) on a relaxed LaYP2 crystal. Values from VASP.

- Space group: F-43m (216)
- Total magnetization: 0.000 μB/f.u.

The structure in Quantum ESPRESSO input format:
```
&SYSTEM
  ibrav = 0, nat = 4, ntyp = 3
/
ATOMIC_SPECIES
Y 88.91 Y.upf
La 138.91 La.upf
P 30.97 P.upf
CELL_PARAMETERS angstrom
-2.8380 -2.2558 3.3505
-0.0255 -4.9275 0.2975
2.0704 -2.2495 3.8758
ATOMIC_POSITIONS angstrom
Y -0.5948 -7.0746 5.6428
La -0.3965 -4.7164 3.7619
P -0.1983 -2.3582 1.8809
P 0.0000 0.0000 0.0000
```

Version b
VASP calculation (PBE) on a relaxed LaYP2 crystal. Values from VASP.

- Space group: I-42d (122)
- Total magnetization: 0.000 μB/f.u.

The structure in Quantum ESPRESSO input format:
```
&SYSTEM
  ibrav = 0, nat = 8, ntyp = 3
/
ATOMIC_SPECIES
Y 88.91 Y.upf
La 138.91 La.upf
P 30.97 P.upf
CELL_PARAMETERS angstrom
6.4885 0.0000 0.0000
0.0000 6.4885 0.0000
3.2442 3.2442 6.3926
ATOMIC_POSITIONS angstrom
Y 3.2442 6.4885 3.1963
Y 3.2442 3.2442 0.0000
La 6.4885 3.2442 3.1963
La 0.0000 0.0000 0.0000
P 8.1106 7.9946 4.7945
P 4.7504 1.6221 1.5982
P 1.7380 4.8663 1.5982
P 4.8663 4.9823 4.7945
```

It is version b that is most stable; the runner-up trails by 0.815 eV/atom.

Version a
VASP calculation (PBE) on a relaxed LaYP2 crystal. Values from VASP.

- Space group: P4/mmm (123)
- Total magnetization: 0.000 μB/f.u.

The structure in Quantum ESPRESSO input format:
```
&SYSTEM
  ibrav = 0, nat = 4, ntyp = 3
/
ATOMIC_SPECIES
P 30.97 P.upf
La 138.91 La.upf
Y 88.91 Y.upf
CELL_PARAMETERS angstrom
3.5491 0.0000 0.0000
0.0000 3.5491 0.0000
0.0000 0.0000 7.1403
ATOMIC_POSITIONS angstrom
P 0.0000 0.0000 3.4695
P 0.0000 0.0000 0.1006
La 1.7745 1.7745 5.3552
Y 1.7745 1.7745 1.7851
```

Version b
VASP calculation (PBE) on a relaxed LaYP2 crystal. Values from VASP.

- Space group: R-3m (166)
- Total magnetization: 0.000 μB/f.u.

The structure in Quantum ESPRESSO input format:
```
&SYSTEM
  ibrav = 0, nat = 4, ntyp = 3
/
ATOMIC_SPECIES
Y 88.91 Y.upf
P 30.97 P.upf
La 138.91 La.upf
CELL_PARAMETERS angstrom
-3.0886 1.8977 2.0156
-2.4860 -2.1763 2.5075
2.2923 1.1480 6.6997
ATOMIC_POSITIONS angstrom
Y -0.8206 0.2174 2.8057
P -1.6962 0.4184 5.5435
P -5.5197 -0.2622 4.5910
La -2.4618 0.6521 8.4171
```

It is version b that is most stable; the runner-up trails by 0.466 eV/atom.

Version a
VASP calculation (PBE) on a relaxed La2YP crystal. Values from VASP.

- Space group: R-3m (166)
- Total magnetization: 1.358 μB/f.u.

The structure in Quantum ESPRESSO input format:
```
&SYSTEM
  ibrav = 0, nat = 4, ntyp = 3
/
ATOMIC_SPECIES
La 138.91 La.upf
P 30.97 P.upf
Y 88.91 Y.upf
CELL_PARAMETERS angstrom
9.8098 -1.9980 0.0252
9.8098 1.9980 0.0252
9.3940 0.0000 3.4609
ATOMIC_POSITIONS angstrom
La 6.5884 0.0000 0.7973
La 22.4252 0.0000 2.7139
P 14.5068 0.0000 1.7556
Y 0.0000 0.0000 0.0000
```

Version b
VASP calculation (PBE) on a relaxed La2YP crystal. Values from VASP.

- Space group: Imm2 (44)
- Total magnetization: 0.000 μB/f.u.

The structure in Quantum ESPRESSO input format:
```
&SYSTEM
  ibrav = 0, nat = 4, ntyp = 3
/
ATOMIC_SPECIES
P 30.97 P.upf
La 138.91 La.upf
Y 88.91 Y.upf
CELL_PARAMETERS angstrom
1.1586 -6.8025 1.6853
-4.7116 -5.3157 0.0396
3.2614 5.2477 -3.5046
ATOMIC_POSITIONS angstrom
P 0.4614 -6.7415 -0.0607
La -0.6257 -2.1340 0.3038
La 2.1881 -0.8522 -0.8990
Y -2.9332 -10.0045 1.4240
```

It is version a that is most stable; the runner-up trails by 0.020 eV/atom.